## i
RbSb3S5O | GGA-PBE | relaxed

Cell: 6.3829 8.6776 11.2646 Å, 107.15 99.31 98.79°
With the nearest neighbours (Å) after each atom.
Space group P-1 (No. 2)
Asymmetric unit:
Rb  0.0058  0.0476  0.1913 (multiplicity 2)  2 O 2.75-2.82
Sb  0.1494  0.8321  0.4425 (multiplicity 2)  2 S 2.45-2.71
Sb  0.2829  0.6038  0.5857 (multiplicity 2)  2 S 2.47-2.65
Sb  0.4113  0.5751  0.1321 (multiplicity 2)  2 S 2.47-2.49
S  0.0557  0.4765  0.3476 (multiplicity 2)  2 Sb 2.47-2.65
S  0.2202  0.3934  0.9153 (multiplicity 2)  2 Sb 2.47-2.49
S  0.2316  0.1643  0.5523 (multiplicity 2)  2 Sb 2.45-2.71
S  0.4166  0.8256  0.0239 (multiplicity 2)  1 O 1.53
S  0.4924  0.2746  0.1543 (multiplicity 2)  1 S 2.15
O  0.1837  0.8522  0.0021 (multiplicity 2)  1 S 1.53

## Properties
N(E_F) ... 0.02 states/eV/atom

---

## ii
RbSb3S5O | GGA-PBE | relaxed

Cell: 7.1015 9.1557 9.3199 Å, 91.55 94.56 93.66°
With the nearest neighbours (Å) after each atom.
Space group P-1 (No. 2)
Asymmetric unit:
Rb  0.2199  0.3662  0.1168 (multiplicity 2)  1 O 2.96
Sb  0.1538  0.3814  0.6421 (multiplicity 2)  1 O 2.15
Sb  0.2520  0.9629  0.7843 (multiplicity 2)  3 S 2.47-2.49
Sb  0.3806  0.8194  0.3648 (multiplicity 2)  4 S 2.51-2.77
S  0.0625  0.7237  0.1946 (multiplicity 2)  1 Sb 2.42
S  0.2542  0.0745  0.5440 (multiplicity 2)  2 Sb 2.49-2.77
S  0.3272  0.7053  0.7323 (multiplicity 2)  1 O 1.67
S  0.3986  0.0133  0.1800 (multiplicity 2)  2 Sb 2.47-2.51
S  0.4500  0.3578  0.7941 (multiplicity 2)  2 Sb 2.47-2.58
O  0.1337  0.5932  0.7442 (multiplicity 2)  1 S 1.67

## Properties
N(E_F) ... 0.00 states/eV/atom

---

## iii
RbSb3S5O | GGA-PBE | relaxed

Cell: 6.5169 8.9359 11.6294 Å, 106.09 99.99 108.23°
With the nearest neighbours (Å) after each atom.
Space group P-1 (No. 2)
Asymmetric unit:
Rb  0.2306  0.1554  0.1918 (multiplicity 2)  2 O 2.81-2.83
Sb  0.2054  0.6906  0.4879 (multiplicity 2)  3 S 2.44-2.73
Sb  0.2201  0.5578  0.9284 (multiplicity 2)  3 S 2.46-2.63
Sb  0.2516  0.1391  0.6486 (multiplicity 2)  2 S 2.48-2.53
S  0.1621  0.9395  0.3994 (multiplicity 2)  2 Sb 2.48-2.77
S  0.2009  0.4611  0.6022 (multiplicity 2)  2 Sb 2.44-2.73
S  0.2058  0.5863  0.1434 (multiplicity 2)  2 Sb 2.46-2.53
S  0.2427  0.8810  0.7002 (multiplicity 2)  2 Sb 2.50-2.53
S  0.2863  0.2757  0.9021 (multiplicity 2)  1 O 1.55
O  0.1128  0.1654  0.9504 (multiplicity 2)  1 S 1.55

---

Which is more stable than every other structure shown? iii is more stable than every other one.